(1)
Below is an optimized crystal structure of RbTiSeI2, with properties calculated at the PBE level.

Summary:
For the final energy, the calculation gives -20.3 eV/cell. As for the space group: P4/mmm.

a b c (Å): 5.921 4.924 5.921
angles (deg): 90.00 90.00 90.00
Site moments in Bohr magnetons follow the coordinates.
Positions (direct):
I1 0.000 0.000 0.500  -0.01
I2 0.500 0.000 0.000  0.00
Se1 0.000 0.500 0.000  -0.09
Rb1 0.500 0.500 0.500  0.00
Ti1 0.000 0.000 0.000  0.96


(2)
Below is an optimized crystal structure of RbTl2SeI, with properties calculated at the PBE level.

Summary:
For the final energy, the calculation gives -28.6 eV/cell. As for the space group: I4cm.

a b c (Å): 7.916 7.916 8.890
angles (deg): 116.44 116.44 90.00
Positions (direct):
Rb1 0.750 0.750 0.500
Rb2 0.250 0.250 0.500
Tl1 0.357 0.857 0.000
Tl2 0.857 0.643 0.000
Tl3 0.643 0.143 0.000
Tl4 0.143 0.357 0.000
Se1 0.000 0.000 0.999
Se2 0.500 0.500 0.999
I1 0.751 0.251 0.501
I2 0.251 0.751 0.501


(3)
Below is an optimized crystal structure of RbW2SeI, with properties calculated at the PBE level.

Summary:
For the final energy, the calculation gives -15.9 eV/cell. As for the space group: P4/mmm.

a b c (Å): 6.453 5.775 6.453
angles (deg): 90.00 90.00 90.00
Site moments in Bohr magnetons follow the coordinates.
Positions (direct):
I1 0.500 0.500 0.500  -0.01
Se1 0.000 0.500 0.000  -0.51
Rb1 0.000 0.000 0.000  0.09
W1 0.000 0.000 0.500  3.68
W2 0.500 0.000 0.000  3.69


(4)
Below is an optimized crystal structure of Rb2WSeI6, with properties calculated at the PBE level.

Summary:
For the final energy, the calculation gives -31.5 eV/cell. As for the space group: I4/mmm.

a b c (Å): 9.006 9.006 8.450
angles (deg): 57.80 57.80 90.00
Site moments in Bohr magnetons follow the coordinates.
Positions (direct):
I1 0.250 0.250 0.500  -0.03
I2 0.750 0.750 0.500  -0.03
I3 0.219 0.219 0.000  0.00
I4 0.781 0.781 0.000  0.00
I5 0.781 0.219 0.000  0.00
I6 0.219 0.781 0.000  0.00
Se1 0.500 0.500 0.000  -0.29
Rb1 0.750 0.250 0.500  0.00
Rb2 0.250 0.750 0.500  0.00
W1 0.000 0.000 0.000  1.62


(5)
Below is an optimized crystal structure of Rb2YSeI6, with properties calculated at the PBE level.

Summary:
For the final energy, the calculation gives -30.8 eV/cell. As for the space group: I4/mmm.

a b c (Å): 9.299 9.299 8.759
angles (deg): 57.94 57.94 90.00
Site moments in Bohr magnetons follow the coordinates.
Positions (direct):
I1 0.265 0.265 0.469  0.03
I2 0.735 0.735 0.531  0.03
I3 0.228 0.228 0.000  0.04
I4 0.772 0.772 0.000  0.04
I5 0.772 0.228 0.000  0.04
I6 0.228 0.772 0.000  0.04
Y1 0.000 0.000 0.000  0.02
Se1 0.500 0.500 0.000  0.42
Rb1 0.750 0.250 0.500  0.00
Rb2 0.250 0.750 0.500  0.00


(6)
Below is an optimized crystal structure of Rb2ZnSeI6, with properties calculated at the PBE level.

Summary:
For the final energy, the calculation gives -22.9 eV/cell. As for the space group: I4/mmm.

a b c (Å): 8.550 8.550 8.531
angles (deg): 59.93 59.93 90.00
Positions (direct):
I1 0.291 0.291 0.419
I2 0.709 0.709 0.581
I3 0.233 0.233 0.000
I4 0.767 0.767 0.000
I5 0.767 0.233 0.000
I6 0.233 0.767 0.000
Zn1 0.500 0.500 0.000
Se1 0.000 0.000 0.000
Rb1 0.750 0.250 0.500
Rb2 0.250 0.750 0.500


For each record above, in turn, the calculated total magnetization values are 1.00, 0.00, 9.91, 1.56, 1.00, 0.00 μB per formula unit.
For each record above, in turn, the calculated theoretical density values are 4.5, 5.4, 4.6, 4.4, 3.7, 4.1 g cm⁻³.